CoPPbO2: optimized geometry, PBE+U.

* polymorph energy (0 for the lowest one): 0.662 eV per atom
* E_tot: -4.3167 eV/atom
* total magnetic moment: 3.12 μB per formula unit
* symmetry: P4/mmm (123)

Unit cell a=4.0947 b=4.0947 c=5.7046 alpha=90.00 beta=90.00 gamma=90.00
Fractional positions:
Co  0.0000  0.0000  0.0000
P  0.5000  0.5000  0.0000
Pb  0.5000  0.5000  0.5000
O  0.0000  0.5000  0.5000
O  0.5000  0.0000  0.5000